First-principles (PBE-GGA) data for crystalline MnHgSe2 at its relaxed geometry, as listed in Alexandria via LeMat-Bulk.

```
4
Lattice="4.219 9.164 0.571 6.746 7.252 2.001 6.545 7.560 -1.456" Properties=species:S:1:pos:R:3 pbc="T T T"
Se 10.823 14.820 0.690
Se 6.687 9.156 0.426
Mn 0.000 0.000 0.000
Hg 8.755 11.988 0.558
```

Properties
E_tot (eV per formula unit): -17.84
DOS at the Fermi energy (states/eV/atom): 0.262
Symmetry: R-3m, No. 166

---

First-principles (PBE-GGA) data for crystalline MnHgSe2 at its relaxed geometry, as listed in Alexandria via LeMat-Bulk.

```
4
Lattice="9.719 1.186 -0.040 8.131 5.454 0.040 -8.866 -3.477 2.271" Properties=species:S:1:pos:R:3 pbc="T T T"
Se 3.864 2.562 1.156
Se 16.047 5.969 0.000
Hg 10.026 3.729 0.000
Mn 5.822 0.862 1.115
```

Properties
E_tot (eV per formula unit): -17.08
DOS at the Fermi energy (states/eV/atom): 0.470
Symmetry: Imm2, No. 44

---

First-principles (PBE-GGA) data for crystalline MnHgSe2 at its relaxed geometry, as listed in Alexandria via LeMat-Bulk.

```
4
Lattice="-2.171 0.137 -2.088 -2.158 -0.085 2.238 0.131 9.597 0.492" Properties=species:S:1:pos:R:3 pbc="T T T"
Se 0.120 8.753 0.449
Se 0.077 5.642 0.289
Hg -2.131 2.425 0.198
Mn -2.066 7.223 0.444
```

Properties
E_tot (eV per formula unit): -16.60
DOS at the Fermi energy (states/eV/atom): 0.779
Symmetry: Pmmm, No. 47

---

First-principles (PBE-GGA) data for crystalline MnHg4Se at its relaxed geometry, as listed in Alexandria via LeMat-Bulk.

```
6
Lattice="-1.451 -3.708 4.432 -5.220 -2.869 -0.105 -0.150 -5.877 -0.962" Properties=species:S:1:pos:R:3 pbc="T T T"
Hg -2.632 -7.610 0.780
Hg -2.557 -4.669 1.261
Hg -3.284 -6.524 3.479
Hg -5.170 -6.105 1.208
Se 0.000 0.000 0.000
Mn -5.116 -9.341 2.523
```

Properties
E_tot (eV per formula unit): -10.98
DOS at the Fermi energy (states/eV/atom): 0.598
Symmetry: F-43m, No. 216